(1)
# Sm3Tm3TlIn2 | Alexandria via LeMat-Bulk | PBE | optimized geometry
data_Sm3Tm3TlIn2
_cell_length_a 9.0052
_cell_length_b 9.0052
_cell_length_c 3.7379
_cell_angle_alpha 90.00
_cell_angle_beta 90.00
_cell_angle_gamma 120.00
_space_group_name_H-M_alt 'P 1'
_space_group_IT_number 1
loop_
_space_group_symop_operation_xyz
'x,y,z'
loop_
_atom_site_label
_atom_site_type_symbol
_atom_site_fract_x
_atom_site_fract_y
_atom_site_fract_z
Sm1 Sm 0.0000 0.7096 0.0000
Sm2 Sm 0.2904 0.2904 0.0000
Sm3 Sm 0.7096 0.0000 0.0000
Tm1 Tm 0.0000 0.3809 0.5000
Tm2 Tm 0.3809 0.0000 0.5000
Tm3 Tm 0.6191 0.6191 0.5000
Tl1 Tl 0.0000 0.0000 0.5000
In1 In 0.3333 0.6667 0.0000
In2 In 0.6667 0.3333 0.0000
# Energy of formation from the pure elements (eV/atom): -0.267
# Theoretical density (g/cm3): 8.80
# SG: P-62m (189)
# Volume (A^3/atom): 29.168


(2)
# Ta2PtPb | Alexandria via LeMat-Bulk | PBE | optimized geometry
data_Ta2PtPb
_cell_length_a 9.7465
_cell_length_b 9.7465
_cell_length_c 9.7465
_cell_angle_alpha 17.93
_cell_angle_beta 17.93
_cell_angle_gamma 17.93
_space_group_name_H-M_alt 'P 1'
_space_group_IT_number 1
loop_
_space_group_symop_operation_xyz
'x,y,z'
loop_
_atom_site_label
_atom_site_type_symbol
_atom_site_fract_x
_atom_site_fract_y
_atom_site_fract_z
Ta1 Ta 0.2438 0.2438 0.2438
Ta2 Ta 0.7562 0.7562 0.7562
Pt1 Pt 0.5000 0.5000 0.5000
Pb1 Pb 0.0000 0.0000 0.0000
# Energy of formation from the pure elements (eV/atom): 0.227
# Theoretical density (g/cm3): 16.56
# SG: R-3m (166)
# Volume (A^3/atom): 19.153


(3)
# Eu2HAu | Alexandria via LeMat-Bulk | PBE | optimized geometry
data_Eu2HAu
_cell_length_a 3.5250
_cell_length_b 3.5250
_cell_length_c 7.3664
_cell_angle_alpha 90.00
_cell_angle_beta 90.00
_cell_angle_gamma 90.00
_space_group_name_H-M_alt 'P 1'
_space_group_IT_number 1
loop_
_space_group_symop_operation_xyz
'x,y,z'
loop_
_atom_site_label
_atom_site_type_symbol
_atom_site_fract_x
_atom_site_fract_y
_atom_site_fract_z
Eu1 Eu 0.0000 0.0000 0.2359
Eu2 Eu 0.0000 0.0000 0.7641
H1 H 0.5000 0.5000 0.0000
Au1 Au 0.5000 0.5000 0.5000
# Theoretical density (g/cm3): 9.11
# SG: P4/mmm (123)
# Excess energy over the best structure of this formula in the dataset (eV/f.u.): 0.53
# Volume (A^3/atom): 22.883


(4)
# AcAsH2Au | Alexandria via LeMat-Bulk | PBE | optimized geometry
data_AcAsH2Au
_cell_length_a 4.1644
_cell_length_b 4.1644
_cell_length_c 5.4623
_cell_angle_alpha 90.00
_cell_angle_beta 90.00
_cell_angle_gamma 90.00
_space_group_name_H-M_alt 'P 1'
_space_group_IT_number 1
loop_
_space_group_symop_operation_xyz
'x,y,z'
loop_
_atom_site_label
_atom_site_type_symbol
_atom_site_fract_x
_atom_site_fract_y
_atom_site_fract_z
Ac1 Ac 0.0000 0.0000 0.0000
As1 As 0.5000 0.5000 0.8167
H1 H 0.0000 0.5000 0.3255
H2 H 0.5000 0.0000 0.3255
Au1 Au 0.5000 0.5000 0.3328
# DFT total energy (eV/cell): -20.5
# Theoretical density (g/cm3): 8.78
# SG: P4mm (99)
# Volume (A^3/atom): 18.946